Entry from Alexandria: a relaxed structure of YCrTe2N (PBE-GGA).

Values from the calculation:
The uncorrected energy is -5.65 eV/atom. As for the crystal system: tetragonal. As for the raw formation energy: 490 meV per atom. For the distance to the lowest polymorph of the same formula, the calculation gives 896 meV per atom.

extended XYZ file:
```
5
Lattice="6.0123 0.0000 0.0000 0.0000 6.0123 0.0000 0.0000 0.0000 4.0689" Properties=species:S:1:pos:R:3 pbc="T T T"
Te 0.0000 3.0062 0.0000
Te 3.0062 0.0000 0.0000
N 0.0000 0.0000 2.0344
Cr 3.0062 3.0062 2.0344
Y 0.0000 0.0000 0.0000
```